# PBE Ca2MnN3, relaxed
# Total energy (eV/atom): -7.165
# Formation energy (no corrections) (eV/atom): -0.807
data_Ca2MnN3
_symmetry_space_group_name_H-M 'C m c e'
_symmetry_Int_Tables_number 64
_symmetry_space_group_name_Hall '-C 2ac 2'
_cell_length_a 5.4486
_cell_length_b 10.4830
_cell_length_c 11.6077
_cell_angle_alpha 90.00
_cell_angle_beta 90.00
_cell_angle_gamma 90.00
loop_
_atom_site_label
_atom_site_type_symbol
_atom_site_fract_x
_atom_site_fract_y
_atom_site_fract_z
Ca1 Ca 0.0000 0.0513 0.1444
Ca2 Ca 0.0000 0.1397 0.5773
Mn1 Mn 0.0000 0.2457 0.3393
N1 N 0.0000 0.0793 0.3652
N2 N 0.0000 0.1566 0.9617
N3 N 0.2500 0.2136 0.7500

# PBE Ca4MnN4, relaxed
# Total energy (eV/atom): -6.389
# Formation energy (no corrections) (eV/atom): -0.780
data_Ca4MnN4
_symmetry_space_group_name_H-M 'P -1'
_symmetry_Int_Tables_number 2
_symmetry_space_group_name_Hall '-P 1'
_cell_length_a 5.9465
_cell_length_b 6.0208
_cell_length_c 8.6434
_cell_angle_alpha 71.92
_cell_angle_beta 79.81
_cell_angle_gamma 68.83
loop_
_atom_site_label
_atom_site_type_symbol
_atom_site_fract_x
_atom_site_fract_y
_atom_site_fract_z
Ca1 Ca 0.2071 0.4346 0.3357
Ca2 Ca 0.2306 0.9572 0.1185
Ca3 Ca 0.2703 0.5135 0.9290
Ca4 Ca 0.2756 0.7891 0.5256
Mn1 Mn 0.2756 0.1521 0.7455
N1 N 0.0295 0.2905 0.8903
N2 N 0.0780 0.1758 0.5905
N3 N 0.4652 0.3597 0.6942
N4 N 0.4848 0.8346 0.8425

# PBE Ca3Mn5N12, relaxed
# Total energy (eV/atom): -7.754
# Formation energy (no corrections) (eV/atom): -0.166
data_Ca3Mn5N12
_symmetry_space_group_name_H-M 'I a -3 d'
_symmetry_Int_Tables_number 230
_symmetry_space_group_name_Hall '-I 4bd 2c 3'
_cell_length_a 12.2646
_cell_length_b 12.2646
_cell_length_c 12.2646
_cell_angle_alpha 90.00
_cell_angle_beta 90.00
_cell_angle_gamma 90.00
loop_
_atom_site_label
_atom_site_type_symbol
_atom_site_fract_x
_atom_site_fract_y
_atom_site_fract_z
Ca1 Ca 0.0000 0.2500 0.1250
Mn1 Mn 0.0000 0.0000 0.0000
Mn2 Mn 0.0000 0.2500 0.3750
N1 N 0.0406 0.0433 0.6479

# PBE Ca2MnN3, relaxed
# Total energy (eV/atom): -7.119
# Formation energy (no corrections) (eV/atom): -0.761
data_Ca2MnN3
_symmetry_space_group_name_H-M 'C m c 21'
_symmetry_Int_Tables_number 36
_symmetry_space_group_name_Hall 'C 2c -2'
_cell_length_a 11.0723
_cell_length_b 6.2618
_cell_length_c 5.1670
_cell_angle_alpha 90.00
_cell_angle_beta 90.00
_cell_angle_gamma 90.00
loop_
_atom_site_label
_atom_site_type_symbol
_atom_site_fract_x
_atom_site_fract_y
_atom_site_fract_z
Ca1 Ca 0.1564 0.1890 0.0000
Mn1 Mn 0.0000 0.3318 0.4690
N1 N 0.0000 0.4174 0.1373
N2 N 0.1371 0.1911 0.5153